(1)
## SmEr12Tl6 (GGA-PBE)

Data for a geometry-optimized SmEr12Tl6 structure.

Cell and atoms, written as extended XYZ:
```
19
Lattice="6.954 4.015 3.697 -6.954 4.015 3.697 0.000 -8.029 3.697" Properties=species:S:1:pos:R:3 pbc="T T T"
Sm 0.000 0.000 0.000
Er -2.576 -4.462 5.546
Er -5.152 0.000 5.546
Er -1.841 -1.063 3.979
Er 1.841 -1.063 3.979
Er 0.000 2.126 3.979
Er 2.576 -4.462 5.546
Er -2.576 4.462 5.546
Er 0.000 -2.126 7.113
Er -1.841 1.063 7.113
Er 1.841 1.063 7.113
Er 5.152 0.000 5.546
Er 2.576 4.462 5.546
Tl 0.000 -3.640 4.308
Tl -3.153 1.820 4.308
Tl -3.153 -1.820 6.785
Tl 3.153 1.820 4.308
Tl 3.153 -1.820 6.785
Tl 0.000 3.640 6.785
```

Computed properties:
size of the total moment	0.00	μB/cell
SG	R-3m
ρ	9.07	g/cm3
calculated formation energy	0.011	eV per atom

=====

(2)
## Sm6Er3Tl (GGA-PBE)

Data for a geometry-optimized Sm6Er3Tl structure.

Cell and atoms, written as extended XYZ:
```
20
Lattice="4.895 -10.196 0.000 4.895 10.196 0.000 0.000 0.000 6.397" Properties=species:S:1:pos:R:3 pbc="T T T"
Sm 4.895 9.816 3.198
Sm 3.080 4.419 0.197
Sm 3.115 1.121 1.581
Sm 4.895 4.367 3.015
Sm 3.115 -1.121 4.780
Sm 6.710 4.419 0.197
Sm 3.080 -4.419 3.396
Sm 6.676 1.121 1.581
Sm 4.895 -4.367 6.213
Sm 6.676 -1.121 4.780
Sm 6.710 -4.419 3.396
Sm 4.895 -9.816 0.000
Er 1.666 2.576 4.300
Er 1.666 -2.576 1.101
Er 4.895 1.798 4.956
Er 4.895 -1.798 1.758
Er 8.125 2.576 4.300
Er 8.125 -2.576 1.101
Tl 4.895 7.060 4.786
Tl 4.895 -7.060 1.588
```

Computed properties:
size of the total moment	0.00	μB/cell
SG	Cmc2_1
ρ	8.37	g/cm3
relative energy among the computed polymorphs	7	meV/atom
calculated formation energy	0.028	eV per atom

=====

(3)
## SmEr3Tl4 (GGA-PBE)

Data for a geometry-optimized SmEr3Tl4 structure.

Cell and atoms, written as extended XYZ:
```
8
Lattice="-1.751 3.599 9.268 1.751 -3.599 9.268 1.751 3.599 -9.268" Properties=species:S:1:pos:R:3 pbc="T T T"
Sm 0.000 0.000 0.000
Er 1.751 0.000 4.078
Er 0.000 0.000 9.268
Er 0.000 3.599 5.190
Tl 1.751 -1.547 6.889
Tl 0.000 2.052 2.379
Tl 1.751 1.547 6.889
Tl 0.000 5.145 2.379
```

Computed properties:
size of the total moment	0.09	μB/cell
SG	Immm
ρ	10.45	g/cm3
relative energy among the computed polymorphs	127	meV/atom
calculated formation energy	-0.200	eV per atom

=====

(4)
## SmEr2Tl2 (GGA-PBE)

Data for a geometry-optimized SmEr2Tl2 structure.

Cell and atoms, written as extended XYZ:
```
10
Lattice="3.771 0.000 0.000 0.000 5.414 0.000 -1.891 0.000 13.977" Properties=species:S:1:pos:R:3 pbc="T T T"
Sm -0.006 1.354 4.157
Sm 1.887 4.061 9.820
Er -0.001 4.061 1.392
Er -0.003 4.061 6.640
Er 1.883 1.354 7.337
Er 1.882 1.354 12.586
Tl -0.001 1.354 9.929
Tl -0.007 4.061 12.669
Tl 1.888 1.354 1.309
Tl 1.881 4.061 4.049
```

Computed properties:
size of the total moment	0.00	μB/cell
SG	P2_1/m
ρ	10.40	g/cm3
relative energy among the computed polymorphs	5	meV/atom
calculated formation energy	-0.273	eV per atom

=====

(5)
## Sm5ErTl8 (GGA-PBE)

Data for a geometry-optimized Sm5ErTl8 structure.

Cell and atoms, written as extended XYZ:
```
14
Lattice="-4.717 4.717 4.651 4.717 -4.717 4.651 4.717 4.717 -4.651" Properties=species:S:1:pos:R:3 pbc="T T T"
Sm 0.000 0.000 0.000
Sm 3.581 2.396 -1.181
Sm 2.321 -1.137 5.832
Sm 1.137 2.321 3.470
Sm 2.396 5.854 1.181
Er 4.717 0.000 2.325
Tl 6.292 0.738 -0.347
Tl 1.654 -0.797 2.698
Tl 0.738 3.143 0.347
Tl 3.063 5.514 -1.952
Tl 3.921 3.063 1.952
Tl 3.979 1.574 4.998
Tl -1.574 3.979 4.304
Tl 0.797 1.654 6.603
```

Computed properties:
size of the total moment	0.00	μB/cell
SG	I-4
ρ	10.24	g/cm3
calculated formation energy	-0.272	eV per atom

=====

(6)
## SmEr6Tl (GGA-PBE)

Data for a geometry-optimized SmEr6Tl structure.

Cell and atoms, written as extended XYZ:
```
8
Lattice="3.243 -5.773 0.000 3.243 5.773 0.000 -0.010 0.000 6.529" Properties=species:S:1:pos:R:3 pbc="T T T"
Sm 0.000 0.000 0.000
Er 1.957 3.245 4.888
Er 4.519 3.245 1.642
Er 2.883 0.000 4.884
Er 3.593 0.000 1.645
Er 1.957 -3.245 4.888
Er 4.519 -3.245 1.642
Tl -0.005 0.000 3.265
```

Computed properties:
size of the total moment	0.00	μB/cell
SG	C2/m
ρ	9.23	g/cm3
relative energy among the computed polymorphs	140	meV/atom
calculated formation energy	0.119	eV per atom

=====

(7)
## Sm4Er4Tl (GGA-PBE)

Data for a geometry-optimized Sm4Er4Tl structure.

Cell and atoms, written as extended XYZ:
```
9
Lattice="-5.339 5.339 2.453 5.339 -5.339 2.453 5.339 5.339 -2.453" Properties=species:S:1:pos:R:3 pbc="T T T"
Sm 1.733 1.733 0.000
Sm 3.605 -3.605 2.453
Sm -3.605 3.605 2.453
Sm 3.605 3.605 2.453
Er 5.339 1.742 0.000
Er 1.742 5.339 0.000
Er 3.597 0.000 2.453
Er 0.000 3.597 2.453
Tl 0.000 0.000 2.453
```

Computed properties:
size of the total moment	0.00	μB/cell
SG	I4/mmm
ρ	8.76	g/cm3
relative energy among the computed polymorphs	0	meV/atom
calculated formation energy	-0.036	eV per atom

=====

(8)
## Sm2ErTl4 (GGA-PBE)

Data for a geometry-optimized Sm2ErTl4 structure.

Cell and atoms, written as extended XYZ:
```
7
Lattice="-3.664 3.664 4.023 3.664 -3.664 4.023 3.664 3.664 -4.023" Properties=species:S:1:pos:R:3 pbc="T T T"
Sm 3.664 0.000 0.000
Sm 0.000 3.664 0.000
Er 0.000 0.000 0.000
Tl 1.832 1.832 -2.012
Tl 1.832 -1.832 2.012
Tl -1.832 1.832 2.012
Tl 1.832 1.832 2.012
```

Computed properties:
size of the total moment	0.00	μB/cell
SG	I4/mmm
ρ	9.88	g/cm3
relative energy among the computed polymorphs	0	meV/atom
calculated formation energy	-0.227	eV per atom